CsCu2W | PBE | optimized geometry

Unit cell a=5.018 b=5.018 c=5.018 alpha=60.00 beta=60.00 gamma=60.00
Element x y z (fractional)
Cs  0.000  0.000  0.000
Cu  0.250  0.250  0.250
Cu  0.750  0.750  0.750
W  0.500  0.500  0.500

Summary:
Formation energy = 7.31 eV/f.u.
Space-group type = Fm-3m, No. 225


Y8RuAu2 | PBE | optimized geometry

Unit cell a=5.163 b=6.858 c=9.093 alpha=106.66 beta=106.49 gamma=90.00
Element x y z (fractional)
Y  0.409  0.565  0.819
Y  0.661  0.967  0.323
Y  0.801  0.692  0.601
Y  0.971  0.206  0.942
Y  0.199  0.308  0.399
Y  0.339  0.033  0.677
Y  0.591  0.435  0.181
Y  0.029  0.794  0.058
Ru  0.500  0.000  0.000
Au  0.815  0.286  0.630
Au  0.185  0.714  0.370

Summary:
Energy above the most stable polymorph in this dataset = 0 meV/atom
Formation energy = -4.64 eV/f.u.
Space-group type = C2/m, No. 12


PmZn6Au12 | PBE | optimized geometry

Unit cell a=7.482 b=7.482 c=7.482 alpha=105.58 beta=105.58 gamma=105.58
Element x y z (fractional)
Pm  0.000  0.000  0.000
Zn  0.694  0.287  0.287
Zn  0.287  0.287  0.694
Zn  0.287  0.694  0.287
Zn  0.713  0.713  0.306
Zn  0.306  0.713  0.713
Zn  0.713  0.306  0.713
Au  0.882  0.118  0.500
Au  0.876  0.628  0.628
Au  0.628  0.628  0.876
Au  0.372  0.124  0.372
Au  0.372  0.372  0.124
Au  0.124  0.372  0.372
Au  0.118  0.500  0.882
Au  0.500  0.882  0.118
Au  0.118  0.882  0.500
Au  0.882  0.500  0.118
Au  0.500  0.118  0.882
Au  0.628  0.876  0.628

Summary:
Formation energy = -3.81 eV/f.u.
Space-group type = R-3m, No. 166


CrCuP | PBE | optimized geometry

Unit cell a=6.108 b=5.947 c=2.628 alpha=80.87 beta=73.99 gamma=25.14
Element x y z (fractional)
Cr  0.012  0.012  0.988
Cu  0.334  0.334  0.666
P  0.654  0.654  0.346

Summary:
Formation energy = 0.82 eV/f.u.
Space-group type = Fmm2, No. 42


Sc5Pb | PBE | optimized geometry

Unit cell a=5.944 b=5.944 c=5.328 alpha=90.00 beta=90.00 gamma=120.00
Element x y z (fractional)
Sc  0.333  0.667  0.000
Sc  0.667  0.333  0.000
Sc  0.500  0.000  0.500
Sc  0.000  0.500  0.500
Sc  0.500  0.500  0.500
Pb  0.000  0.000  0.000

Summary:
Formation energy = 2.08 eV/f.u.
Space-group type = P6/mmm, No. 191


ZrZn | PBE | optimized geometry

Unit cell a=4.066 b=5.372 c=4.066 alpha=67.76 beta=90.00 gamma=112.24
Element x y z (fractional)
Zn  0.000  0.000  0.000
Zn  0.750  0.500  0.750
Zr  0.250  0.500  0.250
Zr  0.500  0.000  0.500

Summary:
Formation energy = -0.28 eV/f.u.
Space-group type = I4_1/amd, No. 141


KBa2SrZn | PBE | optimized geometry

Unit cell a=6.624 b=6.624 c=6.487 alpha=90.00 beta=90.00 gamma=90.00
Element x y z (fractional)
K  0.500  0.500  0.500
Sr  0.000  0.000  0.500
Zn  0.000  0.000  0.000
Ba  0.000  0.500  0.000
Ba  0.500  0.000  0.000

Summary:
Energy above the most stable polymorph in this dataset = 0 meV/atom
Formation energy = 0.01 eV/f.u.
Space-group type = P4/mmm, No. 123


NaCaSn2Cl6 | PBE | optimized geometry

Unit cell a=7.495 b=7.495 c=7.479 alpha=89.99 beta=120.07 gamma=120.02
Element x y z (fractional)
Na  0.981  0.490  0.456
Ca  0.029  0.014  0.029
Sn  0.596  0.797  0.379
Sn  0.472  0.236  0.694
Cl  0.518  0.875  0.705
Cl  0.492  0.101  0.209
Cl  0.833  0.731  0.209
Cl  0.123  0.390  0.209
Cl  0.844  0.642  0.705
Cl  0.078  0.201  0.706

Summary:
Raw formation energy = -1.377 eV/atom
Space-group type = R3, No. 146


Electronic total energy per entry: -3.672; -6.562; -2.923; -6.103; -5.548; -5.053; -1.578; -3.618 eV/atom